# 1
The following is a SCAN calculation of a PBEsol-optimized structure of CuSi2Ir, from the Alexandria database.

Summary:
* magnetic moment: 0.000 μB per cell
* excess energy over the best structure of this formula in the dataset: 0.283 eV/atom
* formation energy (no corrections): 84.7 meV/atom

Unit cell a=2.8341 b=4.0074 c=4.6780 alpha=90.00 beta=90.00 gamma=90.00
Closest atoms and distances in Å follow each position.
Fractional coordinates of all 4 atoms:
Cu  0.0000  0.0000  0.0000  4 Si 2.45, 4 Ir 2.73
Si  0.0000  0.5000  0.5000  4 Ir 2.45, 4 Si 2.73
Si  0.5000  0.5000  0.0000  4 Cu 2.45, 4 Si 2.73
Ir  0.5000  0.0000  0.5000  4 Si 2.45, 4 Cu 2.73

***

# 2
The following is a SCAN calculation of a PBEsol-optimized structure of CuSiIr2, from the Alexandria database.

Summary:
* magnetic moment: 0.000 μB per cell
* formation energy (no corrections): -54.0 meV/atom

Unit cell a=2.9247 b=2.9247 c=6.0073 alpha=90.00 beta=90.00 gamma=90.00
Closest atoms and distances in Å follow each position.
Fractional coordinates of all 4 atoms:
Cu  0.0000  0.0000  0.0000  4 Si 2.41, 5 Ir 2.53-2.62
Si  0.5000  0.5000  0.7927  4 Cu 2.41, 4 Ir 2.48
Ir  0.0000  0.0000  0.5635  4 Si 2.48, 1 Cu 2.62
Ir  0.5000  0.5000  0.2432  4 Cu 2.53, 1 Si 2.71, 4 Ir 2.82

***

# 3
The following is a SCAN calculation of a PBEsol-optimized structure of CuSiIr, from the Alexandria database.

Summary:
* magnetic moment: 0.000 μB per cell
* excess energy over the best structure of this formula in the dataset: 0.000 eV/atom
* formation energy (no corrections): -404.8 meV/atom

Unit cell a=3.8973 b=3.8973 c=3.8973 alpha=60.00 beta=60.00 gamma=60.00
Closest atoms and distances in Å follow each position.
Fractional coordinates of all 3 atoms:
Cu  0.0000  0.0000  0.0000  4 Si 2.39
Si  0.7500  0.7500  0.7500  4 Ir 2.39, 4 Cu 2.39
Ir  0.5000  0.5000  0.5000  4 Si 2.39

***

# 4
The following is a SCAN calculation of a PBEsol-optimized structure of CuSiIr2, from the Alexandria database.

Summary:
* magnetic moment: 0.000 μB per cell
* formation energy (no corrections): -377.4 meV/atom

Unit cell a=2.8968 b=2.8968 c=6.0934 alpha=90.00 beta=90.00 gamma=90.00
Closest atoms and distances in Å follow each position.
Fractional coordinates of all 4 atoms:
Cu  0.0000  0.0000  0.0000  8 Ir 2.62, 4 Cu 2.90
Si  0.0000  0.0000  0.5000  8 Ir 2.49
Ir  0.5000  0.5000  0.2685  4 Si 2.49, 4 Cu 2.62
Ir  0.5000  0.5000  0.7315  4 Si 2.49, 4 Cu 2.62

***

# 5
The following is a SCAN calculation of a PBEsol-optimized structure of CuSiIr, from the Alexandria database.

Summary:
* magnetic moment: 0.000 μB per cell
* excess energy over the best structure of this formula in the dataset: 0.487 eV/atom
* formation energy (no corrections): 81.7 meV/atom

Unit cell a=6.5227 b=6.2385 c=2.7365 alpha=83.51 beta=71.86 gamma=24.64
Closest atoms and distances in Å follow each position.
Fractional coordinates of all 3 atoms:
Cu  0.0000  0.0000  0.0000  2 Si 2.37, 2 Ir 2.63
Si  0.3422  0.3422  0.6578  2 Cu 2.37, 2 Ir 2.37
Ir  0.6839  0.6839  0.3161  2 Si 2.37, 2 Cu 2.63

***

# 6
The following is a SCAN calculation of a PBEsol-optimized structure of CuSiIr2, from the Alexandria database.

Summary:
* magnetic moment: 0.000 μB per cell
* formation energy (no corrections): -60.9 meV/atom

Unit cell a=4.6616 b=4.6616 c=4.6616 alpha=133.63 beta=133.63 gamma=67.66
Closest atoms and distances in Å follow each position.
Fractional coordinates of all 4 atoms:
Cu  0.0000  0.0000  0.0000  8 Ir 2.60-2.67, 4 Si 2.67
Si  0.2500  0.7500  0.5000  8 Ir 2.60-2.67, 4 Cu 2.67
Ir  0.5000  0.5000  0.0000  4 Cu 2.60, 4 Ir 2.67, 4 Si 2.67
Ir  0.7500  0.2500  0.5000  4 Si 2.60, 4 Ir 2.67, 4 Cu 2.67

***

# 7
The following is a SCAN calculation of a PBEsol-optimized structure of CuSi2Ir, from the Alexandria database.

Summary:
* magnetic moment: 0.000 μB per cell
* excess energy over the best structure of this formula in the dataset: 0.000 eV/atom
* formation energy (no corrections): -198.2 meV/atom

Unit cell a=4.5589 b=4.5589 c=4.2316 alpha=95.33 beta=95.33 gamma=36.10
Closest atoms and distances in Å follow each position.
Fractional coordinates of all 4 atoms:
Cu  0.0000  0.0000  0.0000  5 Si 2.36-2.59
Si  0.2485  0.2485  0.8192  1 Cu 2.36, 4 Ir 2.53-2.56, 1 Si 2.56
Si  0.4881  0.4881  0.5092  3 Ir 2.50-2.54, 4 Cu 2.51-2.59, 1 Si 2.56
Ir  0.7537  0.7537  0.3234  7 Si 2.50-2.56, 1 Cu 2.65

***

# 8
The following is a SCAN calculation of a PBEsol-optimized structure of Cu2SiTcIr, from the Alexandria database.

Summary:
* magnetic moment: 0.001 μB per cell
* formation energy (no corrections): 1685.0 meV/atom

Unit cell a=4.5310 b=4.5310 c=4.5939 alpha=90.00 beta=90.00 gamma=90.00
Closest atoms and distances in Å follow each position.
Fractional coordinates of all 5 atoms:
Cu  0.0000  0.5000  0.0000  2 Tc 2.27
Cu  0.5000  0.0000  0.0000  2 Tc 2.27
Si  0.0000  0.0000  0.5000  4 Ir 3.20, 8 Cu 3.23
Tc  0.5000  0.5000  0.0000  4 Cu 2.27, 2 Ir 2.30
Ir  0.5000  0.5000  0.5000  2 Tc 2.30

***

# 9
The following is a SCAN calculation of a PBEsol-optimized structure of Sm2CuIr, from the Alexandria database.

Summary:
* magnetic moment: 0.000 μB per cell
* electronic total energy: -44.393 eV/atom

Unit cell a=4.8910 b=4.8910 c=4.8910 alpha=60.00 beta=60.00 gamma=60.00
Closest atoms and distances in Å follow each position.
Fractional coordinates of all 4 atoms:
Sm  0.2500  0.2500  0.2500  4 Ir 3.00, 4 Cu 3.00
Sm  0.7500  0.7500  0.7500  4 Cu 3.00, 4 Ir 3.00
Cu  0.0000  0.0000  0.0000  8 Sm 3.00
Ir  0.5000  0.5000  0.5000  8 Sm 3.00

***

# 10
The following is a SCAN calculation of a PBEsol-optimized structure of YCuSnIr2, from the Alexandria database.

Summary:
* magnetic moment: 0.000 μB per cell
* electronic total energy: -43.752 eV/atom

Unit cell a=4.5929 b=4.5929 c=4.6615 alpha=90.00 beta=90.00 gamma=90.00
Closest atoms and distances in Å follow each position.
Fractional coordinates of all 5 atoms:
Y  0.0000  0.0000  0.0000  2 Cu 2.33
Cu  0.0000  0.0000  0.5000  4 Ir 2.30, 2 Y 2.33
Sn  0.5000  0.5000  0.0000  4 Y 3.25, 8 Ir 3.27
Ir  0.0000  0.5000  0.5000  2 Cu 2.30
Ir  0.5000  0.0000  0.5000  2 Cu 2.30

***

# 11
The following is a SCAN calculation of a PBEsol-optimized structure of TaCuIr2, from the Alexandria database.

Summary:
* magnetic moment: 0.000 μB per cell
* excess energy over the best structure of this formula in the dataset: 0.038 eV/atom

Unit cell a=2.9463 b=3.4660 c=5.6085 alpha=90.00 beta=90.00 gamma=90.00
Closest atoms and distances in Å follow each position.
Fractional coordinates of all 4 atoms:
Ta  0.0000  0.0000  0.0000  8 Ir 2.71, 2 Cu 2.80, 2 Ta 2.95
Cu  0.0000  0.0000  0.5000  8 Ir 2.64, 2 Ta 2.80, 2 Cu 2.95
Ir  0.5000  0.5000  0.2612  4 Cu 2.64, 4 Ir 2.68-2.95, 4 Ta 2.71
Ir  0.5000  0.5000  0.7388  4 Cu 2.64, 4 Ir 2.68-2.95, 4 Ta 2.71

***

# 12
The following is a SCAN calculation of a PBEsol-optimized structure of TaCu4Ir, from the Alexandria database.

Summary:
* magnetic moment: 0.000 μB per cell
* electronic total energy: -33.258 eV/atom

Unit cell a=4.7208 b=4.7208 c=4.7208 alpha=60.00 beta=60.00 gamma=60.00
Closest atoms and distances in Å follow each position.
Fractional coordinates of all 6 atoms:
Ta  0.0000  0.0000  0.0000  12 Cu 2.77, 4 Ir 2.89
Cu  0.3753  0.3753  0.3753  6 Cu 2.35-2.37
Cu  0.3753  0.3753  0.8740  6 Cu 2.35-2.37
Cu  0.3753  0.8740  0.3753  6 Cu 2.35-2.37
Cu  0.8740  0.3753  0.3753  6 Cu 2.35-2.37
Ir  0.7500  0.7500  0.7500  12 Cu 2.77, 4 Ta 2.89